Record 1
The following is a DFT calculation (PBE) of a geometry-optimized RbBaMn2In structure.

For the energy relative to the elements, the calculation gives 1293 meV per atom. The theoretical density comes out at 3.65 g cm⁻³.

Lattice parameters (Å, degrees): 5.7931 5.7931 6.0620 90.00 90.00 90.00
Last column: nearest neighbours and their distance in Å.
Fractional positions:
1 Rb 0.0000 0.0000 0.0000  4 Mn 2.90, 2 In 3.03
2 Ba 0.5000 0.5000 0.5000  4 In 4.10, 8 Mn 4.19
3 Mn 0.0000 0.5000 0.0000  2 Rb 2.90
4 Mn 0.5000 0.0000 0.0000  2 Rb 2.90
5 In 0.0000 0.0000 0.5000  2 Rb 3.03

=====

Record 2
The following is a DFT calculation (PBE) of a geometry-optimized BaMnIn2S4 structure.

The calculation puts the formation energy without anion corrections at -0.82 eV/atom. The theoretical density comes out at 4.56 g cm⁻³.

Lattice parameters (Å, degrees): 7.1803 7.1803 14.1492 90.00 90.00 146.67
Last column: nearest neighbours and their distance in Å.
Fractional positions:
1 Ba 0.1149 0.8851 0.7500  6 S 3.21-3.24
2 Ba 0.8851 0.1149 0.2500  6 S 3.21-3.24
3 Mn 0.1562 0.8438 0.2500  4 S 2.35-2.42
4 Mn 0.8438 0.1562 0.7500  4 S 2.35-2.42
5 In 0.3748 0.6252 0.5470  6 S 2.77-2.99
6 In 0.3748 0.6252 0.9530  6 S 2.77-2.99
7 In 0.6252 0.3748 0.0470  6 S 2.77-2.99
8 In 0.6252 0.3748 0.4530  6 S 2.77-2.99
9 S 0.0000 0.0000 0.0000  4 In 2.77
10 S 0.0000 0.0000 0.5000  4 In 2.77
11 S 0.2621 0.7379 0.1196  1 Mn 2.35
12 S 0.2621 0.7379 0.3804  1 Mn 2.35
13 S 0.4358 0.5642 0.7500  2 Mn 2.42
14 S 0.5642 0.4358 0.2500  2 Mn 2.42
15 S 0.7379 0.2621 0.6196  1 Mn 2.35
16 S 0.7379 0.2621 0.8804  1 Mn 2.35

=====

Number 1: magnetization 8.2 Bohr magnetons per cell, total DFT energy (no corrections) -3.5005 eV per atom. Number 2: magnetization 9.6 Bohr magnetons per cell, total DFT energy (no corrections) -4.9573 eV per atom.